# 1
! Ac2ErLu (PBE-GGA, optimized geometry); values from VASP
&SYSTEM
  ibrav = 0, nat = 4, ntyp = 3
/
ATOMIC_SPECIES
Ac 227.00 Ac.upf
Er 167.26 Er.upf
Lu 174.97 Lu.upf
CELL_PARAMETERS angstrom
-2.795 -3.603 1.531
3.095 -0.466 4.554
-3.263 3.631 2.589
ATOMIC_POSITIONS crystal
Ac 0.000 0.000 0.500
Ac 0.000 0.500 0.000
Er 0.500 0.500 0.500
Lu 0.500 0.000 0.000
! Energy of formation from the pure elements: 62 meV/atom
! Total moment: 0.001 μB per cell

***

# 2
! ZnOs3Rh (PBE-GGA, optimized geometry); values from VASP
&SYSTEM
  ibrav = 0, nat = 5, ntyp = 3
/
ATOMIC_SPECIES
Rh 102.91 Rh.upf
Os 190.23 Os.upf
Zn 65.41 Zn.upf
CELL_PARAMETERS angstrom
-3.221 1.598 2.983
1.808 -2.669 3.382
2.861 3.486 1.222
ATOMIC_POSITIONS crystal
Rh 0.000 0.000 0.000
Os 0.000 0.000 0.500
Os 0.000 0.500 0.000
Os 0.500 0.000 0.000
Zn 0.500 0.500 0.500
! Energy of formation from the pure elements: 2449 meV/atom
! Total moment: 0.000 μB per cell

***

# 3
! Ca2MgTl4 (PBE-GGA, optimized geometry); values from VASP
&SYSTEM
  ibrav = 0, nat = 7, ntyp = 3
/
ATOMIC_SPECIES
Tl 204.38 Tl.upf
Mg 24.30 Mg.upf
Ca 40.08 Ca.upf
CELL_PARAMETERS angstrom
5.422 0.000 0.000
0.000 5.422 0.000
-2.711 -2.711 8.156
ATOMIC_POSITIONS crystal
Tl 0.820 0.820 0.640
Tl 0.500 0.000 0.000
Tl 0.180 0.180 0.360
Tl 0.000 0.500 0.000
Mg 0.000 0.000 0.000
Ca 0.377 0.377 0.754
Ca 0.623 0.623 0.246
! Energy of formation from the pure elements: 1 meV/atom
! Total moment: 0.000 μB per cell

***

# 4
! CeHoHg2 (PBE-GGA, optimized geometry); values from VASP
&SYSTEM
  ibrav = 0, nat = 4, ntyp = 3
/
ATOMIC_SPECIES
Hg 200.59 Hg.upf
Ho 164.93 Ho.upf
Ce 140.12 Ce.upf
CELL_PARAMETERS angstrom
3.650 0.000 0.000
1.825 3.161 0.000
1.825 1.054 9.755
ATOMIC_POSITIONS crystal
Hg 0.254 0.254 0.238
Hg 0.746 0.746 0.762
Ho 0.000 0.000 0.000
Ce 0.500 0.500 0.500
! Energy of formation from the pure elements: -241 meV/atom
! Total moment: 1.184 μB per cell

***

# 5
! Pm2MgSe4 (PBE-GGA, optimized geometry); values from VASP
&SYSTEM
  ibrav = 0, nat = 28, ntyp = 3
/
ATOMIC_SPECIES
Se 78.96 Se.upf
Pm 145.00 Pm.upf
Mg 24.30 Mg.upf
CELL_PARAMETERS angstrom
7.005 0.000 0.000
0.000 7.662 0.000
0.000 0.000 14.379
ATOMIC_POSITIONS crystal
Se 0.129 0.464 0.181
Se 0.129 0.036 0.681
Se 0.182 0.314 0.456
Se 0.629 0.464 0.319
Se 0.871 0.964 0.319
Se 0.182 0.186 0.956
Se 0.318 0.686 0.956
Se 0.818 0.686 0.544
Se 0.682 0.314 0.044
Se 0.871 0.536 0.819
Se 0.371 0.964 0.181
Se 0.318 0.814 0.456
Se 0.818 0.814 0.044
Se 0.682 0.186 0.544
Se 0.371 0.536 0.681
Se 0.629 0.036 0.819
Pm 0.504 0.890 0.642
Pm 0.004 0.890 0.858
Pm 0.496 0.390 0.858
Pm 0.996 0.110 0.142
Pm 0.004 0.610 0.358
Pm 0.996 0.390 0.642
Pm 0.504 0.610 0.142
Pm 0.496 0.110 0.358
Mg 0.000 0.500 0.000
Mg 0.500 0.500 0.500
Mg 0.000 0.000 0.500
Mg 0.500 0.000 0.000
! Formation energy (no corrections): -1.66 eV per atom
! Total moment: 0.000 μB per cell